1.
## La2InCo (meta-GGA SCAN)

Data for a crystal of La2InCo relaxed with PBEsol.

Properties
- Uncorrected energy: -34.289 eV/atom
- Energy of formation from the pure elements: -0.063 eV per atom
- Size of the total moment: 0.7 μB/f.u.
- Calculated volume: 24.3 A^3/atom

a = 3.2872 Å, b = 3.2872 Å, c = 9.0018 Å
α = 90.00°, β = 90.00°, γ = 90.00°
Last column: nearest neighbours and their distance in Å.
Element x y z (fractional)
In1 0.5000 0.5000 0.6860  4 Co 2.72
Co1 0.0000 0.0000 0.5287  4 In 2.72, 4 La 2.93
La1 0.0000 0.0000 0.9550  4 La 3.29, 4 In 3.36
La2 0.5000 0.5000 0.3302  4 Co 2.93, 1 In 3.20

***

2.
## CdSi2Se (meta-GGA SCAN)

Data for a crystal of CdSi2Se relaxed with PBEsol.

Properties
- Uncorrected energy: -17.159 eV/atom
- Formation energy from raw total energies: 472 meV/atom
- Size of the total moment: 0.0 μB/f.u.
- Calculated volume: 18.8 A^3/atom

a = 2.8847 Å, b = 4.5628 Å, c = 6.3261 Å
α = 111.18°, β = 103.18°, γ = 90.00°
Last column: nearest neighbours and their distance in Å.
Element x y z (fractional)
Cd1 0.4635 0.4635 0.9271  6 Si 2.86-3.07, 2 Cd 2.88
Se1 0.2640 0.7638 0.5281  4 Si 2.73, 2 Se 2.88
Si1 0.0456 0.0457 0.0911  2 Si 2.53
Si2 0.7269 0.2270 0.4537  2 Si 2.53, 4 Se 2.73

***

3.
## Y2ScAg (meta-GGA SCAN)

Data for a crystal of Y2ScAg relaxed with PBEsol.

Properties
- Uncorrected energy: -25.466 eV/atom
- Energy of formation from the pure elements: -0.144 eV per atom
- Size of the total moment: 2.0 μB/f.u.
- Calculated volume: 25.1 A^3/atom

a = 3.4769 Å, b = 3.4769 Å, c = 8.3149 Å
α = 90.00°, β = 90.00°, γ = 90.00°
Last column: nearest neighbours and their distance in Å.
Element x y z (fractional)
Y1 0.0000 0.0000 0.7735  4 Ag 3.10, 4 Sc 3.35
Y2 0.0000 0.0000 0.2265  4 Ag 3.10, 4 Sc 3.35
Sc1 0.5000 0.5000 0.5000  8 Y 3.35, 4 Sc 3.48
Ag1 0.5000 0.5000 0.0000  8 Y 3.10

***

4.
## NbZnTe2N (meta-GGA SCAN)

Data for a crystal of NbZnTe2N relaxed with PBEsol.

Properties
- Uncorrected energy: -25.253 eV/atom
- Formation energy from raw total energies: 835 meV/atom
- Size of the total moment: 0.5 μB/f.u.
- Calculated volume: 20.1 A^3/atom

a = 3.5420 Å, b = 5.3261 Å, c = 5.3261 Å
α = 90.00°, β = 90.00°, γ = 90.00°
Last column: nearest neighbours and their distance in Å.
Element x y z (fractional)
Nb1 0.5000 0.5000 0.5000  8 Te 3.20, 2 Nb 3.54
Te1 0.0000 0.0000 0.5000  2 Zn 2.66
Te2 0.0000 0.5000 0.0000  2 Zn 2.66
Zn1 0.0000 0.0000 0.0000  2 N 1.77
N1 0.5000 0.0000 0.0000  2 Zn 1.77

***

5.
## CdInHg2 (meta-GGA SCAN)

Data for a crystal of CdInHg2 relaxed with PBEsol.

Properties
- Uncorrected energy: -49.997 eV/atom
- Energy of formation from the pure elements: 0.037 eV per atom
- Size of the total moment: 0.0 μB/f.u.
- Calculated volume: 23.4 A^3/atom

a = 3.2075 Å, b = 3.2075 Å, c = 10.1210 Å
α = 90.00°, β = 90.00°, γ = 115.96°
Last column: nearest neighbours and their distance in Å.
Element x y z (fractional)
In1 0.5000 0.5000 0.5000  4 Hg 3.11, 6 In 3.21-3.40
Hg1 0.0000 0.0000 0.2430  2 Cd 2.99, 2 In 3.11, 4 Hg 3.21
Hg2 0.0000 0.0000 0.7570  2 Cd 2.99, 2 In 3.11, 4 Hg 3.21
Cd1 0.5000 0.5000 0.0000  4 Hg 2.99, 4 Cd 3.21

***

6.
## YZr2Ni (meta-GGA SCAN)

Data for a crystal of YZr2Ni relaxed with PBEsol.

Properties
- Uncorrected energy: -26.494 eV/atom
- Energy of formation from the pure elements: -0.140 eV per atom
- Size of the total moment: 0.9 μB/f.u.
- Calculated volume: 20.8 A^3/atom

a = 3.2508 Å, b = 4.9162 Å, c = 5.9745 Å
α = 114.30°, β = 105.79°, γ = 90.00°
Last column: nearest neighbours and their distance in Å.
Element x y z (fractional)
Ni1 0.5000 0.0000 0.0000  4 Zr 2.69, 4 Y 2.95
Y1 0.0000 0.5000 0.0000  4 Ni 2.95, 2 Y 3.25, 4 Zr 3.26
Zr1 0.7938 0.7938 0.5876  2 Ni 2.69
Zr2 0.2062 0.2062 0.4124  2 Ni 2.69

***

> Which value of size of the total moment does entry 4 give?

0.5 μB/f.u.

***

> Among the records above, which one has the highest uncorrected energy?

CdSi2Se

***

> Among the records above, which one has the lowest uncorrected energy?

CdInHg2